Computed, not measured: a relaxed structure of Ba2Cd3In at the PBE-GGA level of DFT.

The structure in POSCAR format:
```
Ba2Cd3In
1.0
-5.1510 1.0654 0.2702
-2.9941 0.0603 -5.9836
-3.7925 -5.4460 0.5081
Cd Ba In
3 2 1
direct
0.8375 0.6068 0.7182
0.8356 0.2204 0.1083
0.1657 0.7676 0.9009
0.4528 0.8005 0.2940
0.5448 0.2040 0.7063
0.1636 0.4006 0.2723
```

Summary:
DOS at the Fermi energy   5.12 states/eV/cell
Total magnetization   0.000 μB/f.u.
DFT total energy   -11.56 eV/cell
Symmetry   No. 8
Polymorph energy (0 for the lowest one)   0 meV per atom
E_form   -371 meV per atom

Computed, not measured: a relaxed structure of Ba3Cd3In at the PBE-GGA level of DFT.

The structure in POSCAR format:
```
Ba3Cd3In
1.0
5.0797 0.0000 0.7652
2.5146 6.2310 0.5499
0.0666 -0.1350 16.8012
Ba Cd In
6 6 2
direct
0.2391 0.2846 0.2371
0.7609 0.7154 0.7629
0.6014 0.7171 0.0800
0.4548 0.6985 0.3920
0.5452 0.3015 0.6080
0.3986 0.2829 0.9200
0.8972 0.1270 0.0786
0.0543 0.1272 0.7642
0.1325 0.2753 0.4597
0.8675 0.7247 0.5403
0.1028 0.8730 0.9214
0.9457 0.8728 0.2358
0.7505 0.1025 0.3964
0.2495 0.8975 0.6036
```

Summary:
DOS at the Fermi energy   13.42 states/eV/cell
Total magnetization   0.000 μB/f.u.
DFT total energy   -27.12 eV/cell
Symmetry   No. 12
E_form   -330 meV per atom

Computed, not measured: a relaxed structure of BaCdIn3 at the PBE-GGA level of DFT.

The structure in POSCAR format:
```
BaCdIn3
1.0
-0.2487 3.8597 5.3285
-6.5098 -0.9186 0.3615
0.9553 -5.2546 3.8508
Cd Ba In
1 1 3
direct
0.5000 0.5000 0.5000
0.0000 0.0000 0.0000
0.0000 0.0000 0.5000
0.0000 0.5000 0.0000
0.5000 0.0000 0.0000
```

Summary:
DOS at the Fermi energy   9.02 states/eV/cell
Total magnetization   1.544 μB/f.u.
DFT total energy   -7.03 eV/cell
Symmetry   No. 221
E_form   805 meV per atom